A geometry-optimized Ni2BiMo2 structure, computed with PBE.

It has space group P4/mbm (No. 127), with a = 6.500 Å, b = 6.500 Å, c = 3.820 Å, α = 90.00°, β = 90.00° and γ = 90.00°. The asymmetric unit holds Ni at (0.129, 0.371, 0.000), Bi at (0.000, 0.000, 0.000) and Mo at (0.141, 0.641, 0.500).

The formation energy is 0.44 eV/atom. The electronic total energy is -6.986 eV per atom. The density is 10.7 Mg/m³. The value obtained for the volume is 80.7 Å³/f.u. For the magnetic moment, the calculation gives 0.0 Bohr magnetons per cell.